# PBE AlIrRu2, relaxed
# - DOS at the Fermi energy: 3.938 states/eV/f.u.
# - E: -7.9996 eV per atom
# - Calculated formation energy: -0.21 eV per atom
data_AlIrRu2
_chemical_formula_sum 'Al2 Ir2 Ru4'
_cell_length_a 4.071
_cell_length_b 2.744
_cell_length_c 10.115
_cell_angle_alpha 90.00
_cell_angle_beta 90.00
_cell_angle_gamma 90.00
_symmetry_space_group_name_H-M 'A m m 2'
_symmetry_Int_Tables_number 38
loop_
_symmetry_equiv_pos_as_xyz
'x,y,z'
'-x,-y,z'
'-x,y,z'
'x,-y,z'
'x,y+1/2,z+1/2'
'-x,-y+1/2,z+1/2'
'-x,y+1/2,z+1/2'
'x,-y+1/2,z+1/2'
loop_
_atom_site_label
_atom_site_fract_x
_atom_site_fract_y
_atom_site_fract_z
Al1 0.000 0.000 0.000
Ir1 0.500 0.000 0.597
Ru1 0.000 0.000 0.252
Ru2 0.500 0.000 0.855